--- 1 ---
Below is a relaxed RbCrAu3 crystal, with properties calculated at the PBE-GGA level.

The value obtained for the magnetic moment is 3.99 μB/f.u.

Cell and atoms, written as CIF:
```
data_RbCrAu3
_space_group_name_H-M_alt 'P 1'
_space_group_IT_number 1
_space_group_name_Hall 'P 1'
_cell_length_a 5.195
_cell_length_b 5.195
_cell_length_c 5.195
_cell_angle_alpha 90.00
_cell_angle_beta 90.00
_cell_angle_gamma 90.00
loop_
_atom_site_label
_atom_site_type_symbol
_atom_site_fract_x
_atom_site_fract_y
_atom_site_fract_z
Au1 Au 0.000 0.500 0.000
Cr1 Cr 0.000 0.000 0.000
Rb1 Rb 0.500 0.500 0.500
Au2 Au 0.000 0.000 0.500
Au3 Au 0.500 0.000 0.000
```

--- 2 ---
Below is a relaxed RbCrAu3 crystal, with properties calculated at the PBE-GGA level.

The value obtained for the magnetic moment is 4.00 μB/f.u.

Cell and atoms, written as CIF:
```
data_RbCrAu3
_space_group_name_H-M_alt 'P 1'
_space_group_IT_number 1
_space_group_name_Hall 'P 1'
_cell_length_a 5.850
_cell_length_b 5.850
_cell_length_c 5.850
_cell_angle_alpha 90.00
_cell_angle_beta 90.00
_cell_angle_gamma 90.00
loop_
_atom_site_label
_atom_site_type_symbol
_atom_site_fract_x
_atom_site_fract_y
_atom_site_fract_z
Cr1 Cr 0.500 0.500 0.500
Au1 Au 0.000 0.500 0.000
Rb1 Rb 0.000 0.000 0.000
Au2 Au 0.000 0.000 0.500
Au3 Au 0.500 0.000 0.000
```

Least stable structure: 2

--- 1 ---
Below is a relaxed RbCrAu crystal, with properties calculated at the PBE-GGA level.

The value obtained for the magnetic moment is 4.58 μB/f.u.

Cell and atoms, written as CIF:
```
data_RbCrAu
_space_group_name_H-M_alt 'P 1'
_space_group_IT_number 1
_space_group_name_Hall 'P 1'
_cell_length_a 12.613
_cell_length_b 6.295
_cell_length_c 4.421
_cell_angle_alpha 90.00
_cell_angle_beta 90.00
_cell_angle_gamma 90.00
loop_
_atom_site_label
_atom_site_type_symbol
_atom_site_fract_x
_atom_site_fract_y
_atom_site_fract_z
Cr1 Cr 0.527 0.750 0.000
Au1 Au 0.000 0.000 0.000
Rb1 Rb 0.233 0.250 0.500
Rb2 Rb 0.733 0.250 0.000
Cr2 Cr 0.973 0.250 0.500
Au2 Au 0.000 0.500 0.000
Cr3 Cr 0.473 0.250 0.000
Cr4 Cr 0.027 0.750 0.500
Rb3 Rb 0.767 0.750 0.500
Au3 Au 0.500 0.500 0.500
Rb4 Rb 0.267 0.750 0.000
Au4 Au 0.500 0.000 0.500
```

--- 2 ---
Below is a relaxed RbCrAu crystal, with properties calculated at the PBE-GGA level.

The value obtained for the magnetic moment is 0.00 μB/f.u.

Cell and atoms, written as CIF:
```
data_RbCrAu
_space_group_name_H-M_alt 'P 1'
_space_group_IT_number 1
_space_group_name_Hall 'P 1'
_cell_length_a 9.435
_cell_length_b 3.025
_cell_length_c 11.550
_cell_angle_alpha 90.00
_cell_angle_beta 90.00
_cell_angle_gamma 90.00
loop_
_atom_site_label
_atom_site_type_symbol
_atom_site_fract_x
_atom_site_fract_y
_atom_site_fract_z
Cr1 Cr 0.434 0.750 0.970
Cr2 Cr 0.066 0.250 0.470
Au1 Au 0.250 0.750 0.587
Rb1 Rb 0.417 0.750 0.323
Rb2 Rb 0.917 0.750 0.177
Au2 Au 0.750 0.250 0.413
Au3 Au 0.250 0.250 0.087
Cr3 Cr 0.566 0.250 0.030
Rb3 Rb 0.083 0.250 0.823
Cr4 Cr 0.934 0.750 0.530
Au4 Au 0.750 0.750 0.913
Rb4 Rb 0.583 0.250 0.677
```

Least stable structure: 2

--- 1 ---
Below is a relaxed RbCr3Au crystal, with properties calculated at the PBE-GGA level.

The value obtained for the magnetic moment is 13.99 μB/f.u.

Cell and atoms, written as CIF:
```
data_RbCr3Au
_space_group_name_H-M_alt 'P 1'
_space_group_IT_number 1
_space_group_name_Hall 'P 1'
_cell_length_a 5.279
_cell_length_b 5.279
_cell_length_c 5.279
_cell_angle_alpha 90.00
_cell_angle_beta 90.00
_cell_angle_gamma 90.00
loop_
_atom_site_label
_atom_site_type_symbol
_atom_site_fract_x
_atom_site_fract_y
_atom_site_fract_z
Cr1 Cr 0.500 0.000 0.000
Rb1 Rb 0.500 0.500 0.500
Au1 Au 0.000 0.000 0.000
Cr2 Cr 0.000 0.000 0.500
Cr3 Cr 0.000 0.500 0.000
```

--- 2 ---
Below is a relaxed RbCr3Au crystal, with properties calculated at the PBE-GGA level.

The value obtained for the magnetic moment is 0.00 μB/f.u.

Cell and atoms, written as CIF:
```
data_RbCr3Au
_space_group_name_H-M_alt 'P 1'
_space_group_IT_number 1
_space_group_name_Hall 'P 1'
_cell_length_a 4.390
_cell_length_b 4.390
_cell_length_c 4.390
_cell_angle_alpha 90.00
_cell_angle_beta 90.00
_cell_angle_gamma 90.00
loop_
_atom_site_label
_atom_site_type_symbol
_atom_site_fract_x
_atom_site_fract_y
_atom_site_fract_z
Rb1 Rb 0.000 0.000 0.000
Au1 Au 0.500 0.500 0.500
Cr1 Cr 0.000 0.000 0.500
Cr2 Cr 0.500 0.000 0.000
Cr3 Cr 0.000 0.500 0.000
```

Least stable structure: 2

--- 1 ---
Below is a relaxed Cr2ReAu crystal, with properties calculated at the PBE-GGA level.

The value obtained for the magnetic moment is 0.00 μB/f.u.

Cell and atoms, written as CIF:
```
data_Cr2ReAu
_space_group_name_H-M_alt 'P 1'
_space_group_IT_number 1
_space_group_name_Hall 'P 1'
_cell_length_a 2.653
_cell_length_b 2.653
_cell_length_c 8.695
_cell_angle_alpha 90.00
_cell_angle_beta 90.00
_cell_angle_gamma 111.00
loop_
_atom_site_label
_atom_site_type_symbol
_atom_site_fract_x
_atom_site_fract_y
_atom_site_fract_z
Cr1 Cr 0.500 0.500 0.236
Re1 Re 0.000 0.000 0.472
Cr2 Cr 0.000 0.000 0.029
Au1 Au 0.500 0.500 0.762
```

--- 2 ---
Below is a relaxed Cr2ReAu crystal, with properties calculated at the PBE-GGA level.

The value obtained for the magnetic moment is 0.06 μB/f.u.

Cell and atoms, written as CIF:
```
data_Cr2ReAu
_space_group_name_H-M_alt 'P 1'
_space_group_IT_number 1
_space_group_name_Hall 'P 1'
_cell_length_a 6.130
_cell_length_b 4.605
_cell_length_c 2.770
_cell_angle_alpha 90.07
_cell_angle_beta 63.01
_cell_angle_gamma 121.94
loop_
_atom_site_label
_atom_site_type_symbol
_atom_site_fract_x
_atom_site_fract_y
_atom_site_fract_z
Cr1 Cr 0.500 0.000 0.500
Au1 Au 0.500 0.500 0.000
Re1 Re 0.000 0.500 0.500
Cr2 Cr 0.000 0.000 0.000
```

--- 3 ---
Below is a relaxed Cr2ReAu crystal, with properties calculated at the PBE-GGA level.

The value obtained for the magnetic moment is 0.07 μB/f.u.

Cell and atoms, written as CIF:
```
data_Cr2ReAu
_space_group_name_H-M_alt 'P 1'
_space_group_IT_number 1
_space_group_name_Hall 'P 1'
_cell_length_a 2.779
_cell_length_b 3.717
_cell_length_c 5.572
_cell_angle_alpha 90.00
_cell_angle_beta 90.00
_cell_angle_gamma 90.00
loop_
_atom_site_label
_atom_site_type_symbol
_atom_site_fract_x
_atom_site_fract_y
_atom_site_fract_z
Cr1 Cr 0.000 0.000 0.042
Au1 Au 0.500 0.500 0.759
Re1 Re 0.000 0.000 0.454
Cr2 Cr 0.500 0.500 0.244
```

Least stable structure: 2

--- 1 ---
Below is a relaxed Cr2ReAu crystal, with properties calculated at the PBE-GGA level.

The value obtained for the magnetic moment is 0.01 μB/f.u.

Cell and atoms, written as CIF:
```
data_Cr2ReAu
_space_group_name_H-M_alt 'P 1'
_space_group_IT_number 1
_space_group_name_Hall 'P 1'
_cell_length_a 3.907
_cell_length_b 2.704
_cell_length_c 5.795
_cell_angle_alpha 69.51
_cell_angle_beta 90.00
_cell_angle_gamma 90.00
loop_
_atom_site_label
_atom_site_type_symbol
_atom_site_fract_x
_atom_site_fract_y
_atom_site_fract_z
Cr1 Cr 0.500 0.239 0.244
Re1 Re 0.000 0.465 0.456
Cr2 Cr 0.000 0.047 0.042
Au1 Au 0.500 0.748 0.758
```

--- 2 ---
Below is a relaxed Cr2ReAu crystal, with properties calculated at the PBE-GGA level.

The value obtained for the magnetic moment is 0.10 μB/f.u.

Cell and atoms, written as CIF:
```
data_Cr2ReAu
_space_group_name_H-M_alt 'P 1'
_space_group_IT_number 1
_space_group_name_Hall 'P 1'
_cell_length_a 4.738
_cell_length_b 4.738
_cell_length_c 4.738
_cell_angle_alpha 132.66
_cell_angle_beta 132.66
_cell_angle_gamma 69.19
loop_
_atom_site_label
_atom_site_type_symbol
_atom_site_fract_x
_atom_site_fract_y
_atom_site_fract_z
Au1 Au 0.750 0.250 0.500
Cr1 Cr 0.250 0.750 0.500
Cr2 Cr 0.000 0.000 0.000
Re1 Re 0.500 0.500 0.000
```

--- 3 ---
Below is a relaxed Cr2ReAu crystal, with properties calculated at the PBE-GGA level.

The value obtained for the magnetic moment is 0.00 μB/f.u.

Cell and atoms, written as CIF:
```
data_Cr2ReAu
_space_group_name_H-M_alt 'P 1'
_space_group_IT_number 1
_space_group_name_Hall 'P 1'
_cell_length_a 5.053
_cell_length_b 5.053
_cell_length_c 5.053
_cell_angle_alpha 145.09
_cell_angle_beta 129.86
_cell_angle_gamma 62.55
loop_
_atom_site_label
_atom_site_type_symbol
_atom_site_fract_x
_atom_site_fract_y
_atom_site_fract_z
Cr1 Cr 0.026 0.026 0.000
Cr2 Cr 0.232 0.732 0.500
Re1 Re 0.480 0.480 0.000
Au1 Au 0.762 0.262 0.500
```

Least stable structure: 3

--- 1 ---
Below is a relaxed CrReAu crystal, with properties calculated at the PBE-GGA level.

The value obtained for the magnetic moment is 0.02 μB/f.u.

Cell and atoms, written as CIF:
```
data_CrReAu
_space_group_name_H-M_alt 'P 1'
_space_group_IT_number 1
_space_group_name_Hall 'P 1'
_cell_length_a 4.806
_cell_length_b 4.806
_cell_length_c 4.806
_cell_angle_alpha 147.96
_cell_angle_beta 130.46
_cell_angle_gamma 60.23
loop_
_atom_site_label
_atom_site_type_symbol
_atom_site_fract_x
_atom_site_fract_y
_atom_site_fract_z
Re1 Re 0.672 0.672 0.000
Au1 Au 0.999 0.999 0.000
Cr1 Cr 0.329 0.329 0.000
```

--- 2 ---
Below is a relaxed CrReAu crystal, with properties calculated at the PBE-GGA level.

The value obtained for the magnetic moment is 0.83 μB/f.u.

Cell and atoms, written as CIF:
```
data_CrReAu
_space_group_name_H-M_alt 'P 1'
_space_group_IT_number 1
_space_group_name_Hall 'P 1'
_cell_length_a 5.811
_cell_length_b 5.811
_cell_length_c 5.811
_cell_angle_alpha 150.99
_cell_angle_beta 150.99
_cell_angle_gamma 41.49
loop_
_atom_site_label
_atom_site_type_symbol
_atom_site_fract_x
_atom_site_fract_y
_atom_site_fract_z
Au1 Au 0.994 0.994 0.000
Re1 Re 0.690 0.690 0.000
Cr1 Cr 0.316 0.316 0.000
```

Least stable structure: 1